Record 1
Material: CuAgRhS2
Method: DFT, PBE
State: optimized geometry

Lattice parameters (Å, degrees): 4.669 5.039 4.669 90.00 90.00 90.00
Atoms (fractional coordinates):
S: 0.000 0.000 0.500
S: 0.500 0.000 0.000
Rh: 0.000 0.500 0.000
Cu: 0.500 0.500 0.500
Ag: 0.000 0.000 0.000

## Properties
Fermi-level density of states: 9.64 states/eV/cell
energy relative to the elements, uncorrected: 1.33 eV/atom
symmetry: P4/mmm (123)

=====

Record 2
Material: Sc4Cu2AgRh
Method: DFT, PBE
State: optimized geometry

Lattice parameters (Å, degrees): 4.672 4.672 8.092 73.22 73.22 60.00
Atoms (fractional coordinates):
Sc: 0.380 0.380 0.860
Sc: 0.871 0.871 0.388
Sc: 0.129 0.129 0.612
Sc: 0.620 0.620 0.140
Cu: 0.748 0.748 0.755
Cu: 0.252 0.252 0.245
Ag: 0.000 0.000 0.000
Rh: 0.500 0.500 0.500

## Properties
Fermi-level density of states: 6.11 states/eV/cell
symmetry: R-3m (166)
energy of formation from the pure elements: -455 meV per atom

=====

Record 3
Material: Sc4CuAgRh2
Method: DFT, PBE
State: optimized geometry

Lattice parameters (Å, degrees): 4.659 4.659 8.057 73.20 73.20 60.00
Atoms (fractional coordinates):
Sc: 0.378 0.378 0.866
Sc: 0.872 0.872 0.383
Sc: 0.128 0.128 0.617
Sc: 0.622 0.622 0.134
Cu: 0.500 0.500 0.500
Ag: 0.000 0.000 0.000
Rh: 0.750 0.750 0.750
Rh: 0.250 0.250 0.250

## Properties
Fermi-level density of states: 5.63 states/eV/cell
symmetry: R-3m (166)
energy of formation from the pure elements: -626 meV per atom

=====

Record 4
Material: SmCuAgRh
Method: DFT, PBE
State: optimized geometry

Lattice parameters (Å, degrees): 4.728 4.728 4.728 60.00 60.00 60.00
Atoms (fractional coordinates):
Cu: 0.250 0.250 0.250
Rh: 0.750 0.750 0.750
Ag: 0.500 0.500 0.500
Sm: 0.000 0.000 0.000

## Properties
Fermi-level density of states: 1.68 states/eV/cell
symmetry: F-43m (216)
energy of formation from the pure elements: -180 meV per atom

=====

Record 5
Material: CuAgSnRh
Method: DFT, PBE
State: optimized geometry

Lattice parameters (Å, degrees): 4.518 4.518 4.518 60.00 60.00 60.00
Atoms (fractional coordinates):
Cu: 0.750 0.750 0.750
Rh: 0.000 0.000 0.000
Sn: 0.250 0.250 0.250
Ag: 0.500 0.500 0.500

## Properties
Fermi-level density of states: 1.70 states/eV/cell
symmetry: F-43m (216)
energy of formation from the pure elements: -70 meV per atom

=====

Record 6
Material: TbCuAgRh
Method: DFT, PBE
State: optimized geometry

Lattice parameters (Å, degrees): 4.676 4.676 4.676 60.00 60.00 60.00
Atoms (fractional coordinates):
Rh: 0.750 0.750 0.750
Tb: 0.000 0.000 0.000
Cu: 0.250 0.250 0.250
Ag: 0.500 0.500 0.500

## Properties
Fermi-level density of states: 1.81 states/eV/cell
symmetry: F-43m (216)
energy of formation from the pure elements: -237 meV per atom